The following is a DFT calculation (PBE) of crystalline KAcSb2Au2 at its relaxed geometry.

Its density of states at the Fermi level is 0.82 states/eV/f.u. Its uncorrected formation energy is -0.7577 eV per atom. Its uncorrected energy is -24.551 eV for the cell shown. The value obtained for the total magnetization is 0.000 μB per formula unit.

The structure belongs to space group P-3m1 (No. 164); the cell edges are 4.7770, 4.7770 and 9.4603 Å and the angles 90.00°, 90.00° and 120.00°. The distinct sites, in fractional coordinates, are K at (0.0000, 0.0000, 0.0000), Ac at (0.0000, 0.0000, 0.5000), Sb at (0.3333, 0.6667, 0.7323) and Au at (0.3333, 0.6667, 0.2844).